Run w
A geometry-optimized CeAsPd4 structure. Source: Alexandria, functional PBE-GGA.

The space group is F-43m (No. 216) and the conventional cell measures 7.587, 7.587 and 7.587 Å, with angles of 90.00, 90.00 and 90.00 degrees. The inequivalent atoms are Ce at (0.000, 0.000, 0.000), As at (0.250, 0.250, 0.750) and Pd at (0.125, 0.125, 0.375).

For the density of states at the Fermi level, the calculation gives 30.0 states/eV/cell. As for the size of the total moment: 0.006 μB/atom. The volume comes out at 18.19 Å³/atom.


Run x
A geometry-optimized CeAsPd4 structure. Source: Alexandria, functional PBE-GGA.

The space group is Pmma (No. 51) and the conventional cell measures 7.489, 4.123 and 7.022 Å, with angles of 90.00, 90.00 and 90.00 degrees. The inequivalent atoms are Ce at (0.250, 0.000, 0.142), As at (0.250, 0.000, 0.732), Pd at (0.000, 0.000, 0.500), Pd at (0.050, 0.500, 0.807) and Pd at (0.250, 0.500, 0.440).

For the density of states at the Fermi level, the calculation gives 13.7 states/eV/cell. As for the size of the total moment: 0.064 μB/atom. The volume comes out at 18.07 Å³/atom.


Energy relative to the most stable one, in meV per atom: run w 136; run x 0


Run w
A geometry-optimized CeAs2Pd3 structure. Source: Alexandria, functional PBE-GGA.

The space group is C2/m (No. 12) and the conventional cell measures 16.753, 4.149 and 10.052 Å, with angles of 90.00, 107.82 and 90.00 degrees. The inequivalent atoms are Ce at (0.000, 0.000, 0.000), Ce at (0.157, 0.000, 0.703), As at (0.038, 0.500, 0.791), As at (0.137, 0.500, 0.459), As at (0.198, 0.000, 0.131), Pd at (0.000, 0.500, 0.500), Pd at (0.039, 0.000, 0.334), Pd at (0.126, 0.500, 0.206), Pd at (0.180, 0.500, 0.969) and Pd at (0.217, 0.000, 0.394).

For the density of states at the Fermi level, the calculation gives 44.1 states/eV/cell. As for the size of the total moment: 0.107 μB/atom. The volume comes out at 18.48 Å³/atom.


Run x
A geometry-optimized CeAs2Pd3 structure. Source: Alexandria, functional PBE-GGA.

The space group is C2/m (No. 12) and the conventional cell measures 15.594, 4.315 and 7.530 Å, with angles of 90.00, 118.59 and 90.00 degrees. The inequivalent atoms are Ce at (0.146, 0.000, 0.068), As at (0.005, 0.500, 0.178), As at (0.200, 0.000, 0.741), Pd at (0.057, 0.000, 0.377), Pd at (0.107, 0.500, 0.669) and Pd at (0.188, 0.500, 0.405).

For the density of states at the Fermi level, the calculation gives 24.8 states/eV/cell. As for the size of the total moment: 0.054 μB/atom. The volume comes out at 18.54 Å³/atom.


Energy relative to the most stable one, in meV per atom: run w 0; run x 32


Run w
A geometry-optimized Ce3As4Pd4 structure. Source: Alexandria, functional PBE-GGA.

The space group is Immm (No. 71) and the conventional cell measures 4.084, 4.308 and 25.660 Å, with angles of 90.00, 90.00 and 90.00 degrees. The inequivalent atoms are Ce at (0.000, 0.000, 0.000), Ce at (0.000, 0.500, 0.150), As at (0.000, 0.000, 0.450), As at (0.000, 0.500, 0.309), Pd at (0.000, 0.000, 0.253) and Pd at (0.000, 0.500, 0.405).

For the density of states at the Fermi level, the calculation gives 36.6 states/eV/cell. As for the size of the total moment: 0.185 μB/atom. The volume comes out at 20.52 Å³/atom.


Run x
A geometry-optimized Ce3As4Pd4 structure. Source: Alexandria, functional PBE-GGA.

The space group is Immm (No. 71) and the conventional cell measures 4.178, 7.450 and 14.020 Å, with angles of 90.00, 90.00 and 90.00 degrees. The inequivalent atoms are Ce at (0.000, 0.000, 0.000), Ce at (0.000, 0.500, 0.120), As at (0.000, 0.000, 0.219), As at (0.000, 0.216, 0.500) and Pd at (0.000, 0.305, 0.324).

For the density of states at the Fermi level, the calculation gives 27.0 states/eV/cell. As for the size of the total moment: 0.113 μB/atom. The volume comes out at 19.84 Å³/atom.


Energy relative to the most stable one, in meV per atom: run w 42; run x 0


Run w
A geometry-optimized CePmAs structure. Source: Alexandria, functional PBE-GGA.

The space group is P4/nmm (No. 129, origin choice 2) and the conventional cell measures 4.195, 4.195 and 8.660 Å, with angles of 90.00, 90.00 and 90.00 degrees. The inequivalent atoms are Ce at (0.250, 0.750, 0.000), Pm at (0.250, 0.250, 0.363) and As at (0.250, 0.250, 0.721).

For the density of states at the Fermi level, the calculation gives 11.4 states/eV/cell. As for the size of the total moment: 0.039 μB/atom. The volume comes out at 25.40 Å³/atom.


Run x
A geometry-optimized CePmAs structure. Source: Alexandria, functional PBE-GGA.

The space group is Cmcm (No. 63) and the conventional cell measures 3.841, 22.292 and 3.826 Å, with angles of 90.00, 90.00 and 90.00 degrees. The inequivalent atoms are Ce at (0.000, 0.208, 0.250), Pm at (0.000, 0.069, 0.250) and As at (0.000, 0.356, 0.250).

For the density of states at the Fermi level, the calculation gives 25.9 states/eV/cell. As for the size of the total moment: 0.239 μB/atom. The volume comes out at 27.30 Å³/atom.


Energy relative to the most stable one, in meV per atom: run w 0; run x 301


Run w
A geometry-optimized CePmAs structure. Source: Alexandria, functional PBE-GGA.

The space group is P3m1 (No. 156) and the conventional cell measures 4.0375, 4.0375 and 6.6709 Å, with angles of 90.00, 90.00 and 120.00 degrees. The inequivalent atoms are Ce at (0.0000, 0.0000, 0.0000), Pm at (0.3333, 0.6667, 0.4704) and As at (0.6667, 0.3333, 0.7383).

For the density of states at the Fermi level, the calculation gives 5.2 states/eV/cell. As for the size of the total moment: 0.719 μB/atom. The volume comes out at 31.39 Å³/atom.


Run x
A geometry-optimized CePmAs structure. Source: Alexandria, functional PBE-GGA.

The space group is F-43m (No. 216) and the conventional cell measures 7.022, 7.022 and 7.022 Å, with angles of 90.00, 90.00 and 90.00 degrees. The inequivalent atoms are Ce at (0.000, 0.000, 0.000), Pm at (0.000, 0.000, 0.500) and As at (0.250, 0.250, 0.250).

For the density of states at the Fermi level, the calculation gives 34.3 states/eV/cell. As for the size of the total moment: 0.456 μB/atom. The volume comes out at 28.85 Å³/atom.


Run y
A geometry-optimized CePmAs structure. Source: Alexandria, functional PBE-GGA.

The space group is I4mm (No. 107) and the conventional cell measures 3.261, 3.261 and 17.266 Å, with angles of 90.00, 90.00 and 90.00 degrees. The inequivalent atoms are Ce at (0.000, 0.000, 0.000), Pm at (0.000, 0.000, 0.666) and As at (0.000, 0.000, 0.834).

For the density of states at the Fermi level, the calculation gives 13.7 states/eV/cell. As for the size of the total moment: 0.399 μB/atom. The volume comes out at 30.60 Å³/atom.


Energy relative to the most stable one, in meV per atom: run w 0; run x 43; run y 998


Run w
A geometry-optimized CePmAs2 structure. Source: Alexandria, functional PBE-GGA.

The space group is P4/mmm (No. 123) and the conventional cell measures 5.134, 5.134 and 3.647 Å, with angles of 90.00, 90.00 and 90.00 degrees. The inequivalent atoms are Ce at (0.000, 0.000, 0.000), Pm at (0.500, 0.500, 0.000) and As at (0.000, 0.500, 0.500).

For the density of states at the Fermi level, the calculation gives 5.2 states/eV/cell. As for the size of the total moment: 0.188 μB/atom. The volume comes out at 24.03 Å³/atom.


Run x
A geometry-optimized CePmAs2 structure. Source: Alexandria, functional PBE-GGA.

The space group is R-3m (No. 166, hexagonal axes) and the conventional cell measures 4.2262, 4.2262 and 20.7008 Å, with angles of 90.00, 90.00 and 120.00 degrees. The inequivalent atoms are Ce at (0.0000, 0.0000, 0.0000), Pm at (0.0000, 0.0000, 0.5000) and As at (0.0000, 0.0000, 0.2513).

For the density of states at the Fermi level, the calculation gives 16.7 states/eV/cell. As for the size of the total moment: 0.156 μB/atom. The volume comes out at 26.68 Å³/atom.


Energy relative to the most stable one, in meV per atom: run w 379; run x 0